[1]
BiAu3N | PBE | relaxed

```
data_BiAu3N
_chemical_formula_sum 'Bi1 Au3 N1'
_symmetry_space_group_name_H-M 'P 1'
_symmetry_Int_Tables_number 1
_cell_length_a 5.4386
_cell_length_b 5.4386
_cell_length_c 5.4386
_cell_angle_alpha 90.00
_cell_angle_beta 90.00
_cell_angle_gamma 90.00
loop_
_symmetry_equiv_pos_as_xyz
'x,y,z'
loop_
_atom_site_label
_atom_site_type_symbol
_atom_site_fract_x
_atom_site_fract_y
_atom_site_fract_z
Bi1 Bi 0.0000 0.0000 0.0000
Au1 Au 0.0000 0.0000 0.5000
Au2 Au 0.0000 0.5000 0.0000
Au3 Au 0.5000 0.0000 0.0000
N1 N 0.5000 0.5000 0.5000
```

Computed properties:
E_tot: -2.915 eV/atom
Raw formation energy: 1.493 eV per atom

---

[2]
Bi2AuN2 | PBE | relaxed

```
data_Bi2AuN2
_chemical_formula_sum 'Bi2 Au1 N2'
_symmetry_space_group_name_H-M 'P 1'
_symmetry_Int_Tables_number 1
_cell_length_a 3.3964
_cell_length_b 3.5401
_cell_length_c 13.7487
_cell_angle_alpha 93.20
_cell_angle_beta 93.40
_cell_angle_gamma 118.59
loop_
_symmetry_equiv_pos_as_xyz
'x,y,z'
loop_
_atom_site_label
_atom_site_type_symbol
_atom_site_fract_x
_atom_site_fract_y
_atom_site_fract_z
Bi1 Bi 0.0583 0.0343 0.1708
Bi2 Bi 0.9417 0.9657 0.8292
Au1 Au 0.5000 0.0000 0.0000
N1 N 0.0116 0.4690 0.5391
N2 N 0.9884 0.5310 0.4609
```

Computed properties:
E_tot: -5.443 eV/atom
Raw formation energy: 0.095 eV per atom

---

[3]
Bi3AuN | PBE | relaxed

```
data_Bi3AuN
_chemical_formula_sum 'Bi3 Au1 N1'
_symmetry_space_group_name_H-M 'P 1'
_symmetry_Int_Tables_number 1
_cell_length_a 4.9202
_cell_length_b 4.9202
_cell_length_c 4.9202
_cell_angle_alpha 90.00
_cell_angle_beta 90.00
_cell_angle_gamma 90.00
loop_
_symmetry_equiv_pos_as_xyz
'x,y,z'
loop_
_atom_site_label
_atom_site_type_symbol
_atom_site_fract_x
_atom_site_fract_y
_atom_site_fract_z
Bi1 Bi 0.0000 0.0000 0.5000
Bi2 Bi 0.0000 0.5000 0.0000
Bi3 Bi 0.5000 0.0000 0.0000
Au1 Au 0.5000 0.5000 0.5000
N1 N 0.0000 0.0000 0.0000
```

Computed properties:
E_tot: -4.127 eV/atom
Raw formation energy: 0.522 eV per atom

---

[4]
BiAu3N | PBE | relaxed

```
data_BiAu3N
_chemical_formula_sum 'Bi1 Au3 N1'
_symmetry_space_group_name_H-M 'P 1'
_symmetry_Int_Tables_number 1
_cell_length_a 4.5736
_cell_length_b 4.5736
_cell_length_c 4.5736
_cell_angle_alpha 90.00
_cell_angle_beta 90.00
_cell_angle_gamma 90.00
loop_
_symmetry_equiv_pos_as_xyz
'x,y,z'
loop_
_atom_site_label
_atom_site_type_symbol
_atom_site_fract_x
_atom_site_fract_y
_atom_site_fract_z
Bi1 Bi 0.0000 0.0000 0.0000
Au1 Au 0.0000 0.5000 0.5000
Au2 Au 0.5000 0.0000 0.5000
Au3 Au 0.5000 0.5000 0.0000
N1 N 0.5000 0.5000 0.5000
```

Computed properties:
E_tot: -3.644 eV/atom
Raw formation energy: 0.763 eV per atom

---

[5]
BiAuN3 | PBE | relaxed

```
data_BiAuN3
_chemical_formula_sum 'Bi1 Au1 N3'
_symmetry_space_group_name_H-M 'P 1'
_symmetry_Int_Tables_number 1
_cell_length_a 4.3319
_cell_length_b 4.3319
_cell_length_c 4.3319
_cell_angle_alpha 90.00
_cell_angle_beta 90.00
_cell_angle_gamma 90.00
loop_
_symmetry_equiv_pos_as_xyz
'x,y,z'
loop_
_atom_site_label
_atom_site_type_symbol
_atom_site_fract_x
_atom_site_fract_y
_atom_site_fract_z
Bi1 Bi 0.0000 0.0000 0.0000
Au1 Au 0.5000 0.5000 0.5000
N1 N 0.0000 0.0000 0.5000
N2 N 0.0000 0.5000 0.0000
N3 N 0.5000 0.0000 0.0000
```

Computed properties:
E_tot: -4.100 eV/atom
Raw formation energy: 2.327 eV per atom

---

[6]
BiAuN3 | PBE | relaxed

```
data_BiAuN3
_chemical_formula_sum 'Bi1 Au1 N3'
_symmetry_space_group_name_H-M 'P 1'
_symmetry_Int_Tables_number 1
_cell_length_a 4.1162
_cell_length_b 4.1162
_cell_length_c 4.1162
_cell_angle_alpha 90.00
_cell_angle_beta 90.00
_cell_angle_gamma 90.00
loop_
_symmetry_equiv_pos_as_xyz
'x,y,z'
loop_
_atom_site_label
_atom_site_type_symbol
_atom_site_fract_x
_atom_site_fract_y
_atom_site_fract_z
Bi1 Bi 0.0000 0.0000 0.0000
Au1 Au 0.5000 0.5000 0.5000
N1 N 0.0000 0.5000 0.5000
N2 N 0.5000 0.0000 0.5000
N3 N 0.5000 0.5000 0.0000
```

Computed properties:
E_tot: -4.452 eV/atom
Raw formation energy: 1.975 eV per atom

---

[7]
Bi3AuN | PBE | relaxed

```
data_Bi3AuN
_chemical_formula_sum 'Bi3 Au1 N1'
_symmetry_space_group_name_H-M 'P 1'
_symmetry_Int_Tables_number 1
_cell_length_a 5.5064
_cell_length_b 5.5064
_cell_length_c 5.5064
_cell_angle_alpha 90.00
_cell_angle_beta 90.00
_cell_angle_gamma 90.00
loop_
_symmetry_equiv_pos_as_xyz
'x,y,z'
loop_
_atom_site_label
_atom_site_type_symbol
_atom_site_fract_x
_atom_site_fract_y
_atom_site_fract_z
Bi1 Bi 0.0000 0.0000 0.5000
Bi2 Bi 0.0000 0.5000 0.0000
Bi3 Bi 0.5000 0.0000 0.0000
Au1 Au 0.0000 0.0000 0.0000
N1 N 0.5000 0.5000 0.5000
```

Computed properties:
E_tot: -2.989 eV/atom
Raw formation energy: 1.660 eV per atom

---

[8]
NaBiAu2N | PBE | relaxed

```
data_NaBiAu2N
_chemical_formula_sum 'Na1 Bi1 Au2 N1'
_symmetry_space_group_name_H-M 'P 1'
_symmetry_Int_Tables_number 1
_cell_length_a 4.5191
_cell_length_b 4.5191
_cell_length_c 4.6308
_cell_angle_alpha 90.00
_cell_angle_beta 90.00
_cell_angle_gamma 90.00
loop_
_symmetry_equiv_pos_as_xyz
'x,y,z'
loop_
_atom_site_label
_atom_site_type_symbol
_atom_site_fract_x
_atom_site_fract_y
_atom_site_fract_z
Na1 Na 0.0000 0.0000 0.0000
Bi1 Bi 0.5000 0.5000 0.0000
Au1 Au 0.0000 0.5000 0.5000
Au2 Au 0.5000 0.0000 0.5000
N1 N 0.0000 0.0000 0.5000
```

Computed properties:
E_tot: -3.549 eV/atom
Raw formation energy: 0.467 eV per atom

---

[9]
NaBi2AuN | PBE | relaxed

```
data_NaBi2AuN
_chemical_formula_sum 'Na1 Bi2 Au1 N1'
_symmetry_space_group_name_H-M 'P 1'
_symmetry_Int_Tables_number 1
_cell_length_a 5.4419
_cell_length_b 5.4419
_cell_length_c 4.0686
_cell_angle_alpha 90.00
_cell_angle_beta 90.00
_cell_angle_gamma 90.00
loop_
_symmetry_equiv_pos_as_xyz
'x,y,z'
loop_
_atom_site_label
_atom_site_type_symbol
_atom_site_fract_x
_atom_site_fract_y
_atom_site_fract_z
Na1 Na 0.0000 0.0000 0.0000
Bi1 Bi 0.0000 0.5000 0.0000
Bi2 Bi 0.5000 0.0000 0.0000
Au1 Au 0.5000 0.5000 0.5000
N1 N 0.0000 0.0000 0.5000
```

Computed properties:
E_tot: -2.878 eV/atom
Raw formation energy: 1.259 eV per atom

---

[10]
BiAuN2O | PBE | relaxed

```
data_BiAuN2O
_chemical_formula_sum 'Bi1 Au1 N2 O1'
_symmetry_space_group_name_H-M 'P 1'
_symmetry_Int_Tables_number 1
_cell_length_a 4.1176
_cell_length_b 4.1176
_cell_length_c 4.1092
_cell_angle_alpha 90.00
_cell_angle_beta 90.00
_cell_angle_gamma 90.00
loop_
_symmetry_equiv_pos_as_xyz
'x,y,z'
loop_
_atom_site_label
_atom_site_type_symbol
_atom_site_fract_x
_atom_site_fract_y
_atom_site_fract_z
Bi1 Bi 0.0000 0.0000 0.0000
Au1 Au 0.5000 0.5000 0.5000
N1 N 0.0000 0.5000 0.5000
N2 N 0.5000 0.0000 0.5000
O1 O 0.5000 0.5000 0.0000
```

Computed properties:
E_tot: -4.494 eV/atom
Raw formation energy: 1.259 eV per atom

---

[11]
BiAuNO2 | PBE | relaxed

```
data_BiAuNO2
_chemical_formula_sum 'Bi1 Au1 N1 O2'
_symmetry_space_group_name_H-M 'P 1'
_symmetry_Int_Tables_number 1
_cell_length_a 4.0959
_cell_length_b 4.0959
_cell_length_c 4.1496
_cell_angle_alpha 90.00
_cell_angle_beta 90.00
_cell_angle_gamma 90.00
loop_
_symmetry_equiv_pos_as_xyz
'x,y,z'
loop_
_atom_site_label
_atom_site_type_symbol
_atom_site_fract_x
_atom_site_fract_y
_atom_site_fract_z
Bi1 Bi 0.0000 0.0000 0.0000
Au1 Au 0.5000 0.5000 0.5000
N1 N 0.5000 0.5000 0.0000
O1 O 0.0000 0.5000 0.5000
O2 O 0.5000 0.0000 0.5000
```

Computed properties:
E_tot: -4.518 eV/atom
Raw formation energy: 0.562 eV per atom

---

[12]
BiAuNO2 | PBE | relaxed

```
data_BiAuNO2
_chemical_formula_sum 'Bi1 Au1 N1 O2'
_symmetry_space_group_name_H-M 'P 1'
_symmetry_Int_Tables_number 1
_cell_length_a 4.2061
_cell_length_b 4.2061
_cell_length_c 4.4374
_cell_angle_alpha 90.00
_cell_angle_beta 90.00
_cell_angle_gamma 90.00
loop_
_symmetry_equiv_pos_as_xyz
'x,y,z'
loop_
_atom_site_label
_atom_site_type_symbol
_atom_site_fract_x
_atom_site_fract_y
_atom_site_fract_z
Bi1 Bi 0.0000 0.0000 0.0000
Au1 Au 0.5000 0.5000 0.5000
N1 N 0.0000 0.0000 0.5000
O1 O 0.0000 0.5000 0.0000
O2 O 0.5000 0.0000 0.0000
```

Computed properties:
E_tot: -4.332 eV/atom
Raw formation energy: 0.748 eV per atom

---

raw formation energy of number 7 (Bi3AuN)?
1.660 eV per atom

---

Which of these has the lowest E_tot?
Bi2AuN2